(1)
# MgAlO2 PBE relaxed
data_MgAlO2
_chemical_formula_sum 'Mg2 Al2 O4'
_space_group_name_H-M_alt 'P 1'
_space_group_IT_number 1
_cell_length_a 4.663
_cell_length_b 4.663
_cell_length_c 5.585
_cell_angle_alpha 65.33
_cell_angle_beta 65.33
_cell_angle_gamma 90.00
loop_
_space_group_symop_operation_xyz
'x,y,z'
loop_
_atom_site_label
_atom_site_fract_x
_atom_site_fract_y
_atom_site_fract_z
Mg1 0.500 0.500 0.000
Mg2 0.250 0.750 0.500
Al1 0.000 0.000 0.000
Al2 0.750 0.250 0.500
O1 0.675 0.125 0.250
O2 0.075 0.625 0.250
O3 0.375 0.325 0.750
O4 0.875 0.925 0.750
# Distance to the lowest polymorph of the same formula (meV per atom): 62
# ρ (g/cm3): 2.8
# Space-group type: I-42d (122)
# ΔE_f (raw) (meV/atom): -2199

(2)
# K2ZrS4 PBE relaxed
data_K2ZrS4
_chemical_formula_sum 'K16 Zr8 S32'
_space_group_name_H-M_alt 'P 1'
_space_group_IT_number 1
_cell_length_a 6.786
_cell_length_b 9.547
_cell_length_c 23.788
_cell_angle_alpha 90.00
_cell_angle_beta 90.00
_cell_angle_gamma 90.00
loop_
_space_group_symop_operation_xyz
'x,y,z'
loop_
_atom_site_label
_atom_site_fract_x
_atom_site_fract_y
_atom_site_fract_z
K1 0.083 0.067 0.202
K2 0.583 0.433 0.202
K3 0.197 0.859 0.966
K4 0.197 0.359 0.534
K5 0.803 0.641 0.466
K6 0.583 0.933 0.298
K7 0.417 0.067 0.702
K8 0.417 0.567 0.798
K9 0.697 0.141 0.534
K10 0.917 0.433 0.702
K11 0.917 0.933 0.798
K12 0.083 0.567 0.298
K13 0.303 0.359 0.034
K14 0.697 0.641 0.966
K15 0.303 0.859 0.466
K16 0.803 0.141 0.034
Zr1 0.564 0.830 0.129
Zr2 0.436 0.170 0.871
Zr3 0.064 0.670 0.129
Zr4 0.936 0.330 0.871
Zr5 0.436 0.670 0.629
Zr6 0.936 0.830 0.629
Zr7 0.564 0.330 0.371
Zr8 0.064 0.170 0.371
S1 0.414 0.911 0.839
S2 0.414 0.411 0.661
S3 0.866 0.326 0.437
S4 0.607 0.946 0.908
S5 0.692 0.241 0.798
S6 0.893 0.946 0.408
S7 0.893 0.446 0.092
S8 0.192 0.759 0.702
S9 0.692 0.741 0.702
S10 0.866 0.826 0.063
S11 0.914 0.089 0.661
S12 0.393 0.054 0.092
S13 0.586 0.089 0.161
S14 0.134 0.674 0.563
S15 0.192 0.259 0.798
S16 0.808 0.241 0.298
S17 0.086 0.911 0.339
S18 0.107 0.554 0.908
S19 0.366 0.674 0.063
S20 0.634 0.326 0.937
S21 0.607 0.446 0.592
S22 0.393 0.554 0.408
S23 0.366 0.174 0.437
S24 0.808 0.741 0.202
S25 0.914 0.589 0.839
S26 0.308 0.759 0.202
S27 0.586 0.589 0.339
S28 0.308 0.259 0.298
S29 0.086 0.411 0.161
S30 0.634 0.826 0.563
S31 0.134 0.174 0.937
S32 0.107 0.054 0.592
# ρ (g/cm3): 2.6
# Space-group type: Pbca (61)
# ΔE_f (raw) (meV/atom): -1282